Record 1
The following is a PBE calculation of a relaxed LaZrZn2 crystal, from Alexandria via LeMat-Bulk.

Cell: 5.9146 5.9146 5.0185 Å, 114.90 114.90 33.75°
Last column: nearest neighbours and their distance in Å.
Fractional coordinates of all 4 atoms:
La 0.0000 0.0000 0.0000  6 Zn 3.07-3.20, 4 Zr 3.28-3.40, 2 La 3.43
Zr 0.7752 0.7752 0.2744  7 Zn 3.07-3.42, 4 La 3.28-3.40, 2 Zr 3.43
Zn 0.2346 0.2346 0.7344  2 Zn 2.58
Zn 0.5452 0.5452 0.5442  2 Zn 2.58

Calculated values
Excess energy over the best structure of this formula in the dataset, kJ/mol of formula units: 55
DFT formation energy, eV per atom: -0.10
E_tot, eV per atom: -4.1037

Record 2
The following is a PBE calculation of a relaxed La3ZrZn crystal, from Alexandria via LeMat-Bulk.

Cell: 5.6455 5.6455 5.6455 Å, 90.00 90.00 90.00°
Last column: nearest neighbours and their distance in Å.
Fractional coordinates of all 5 atoms:
La 0.0000 0.0000 0.5000  2 Zn 2.82
La 0.0000 0.5000 0.0000  2 Zn 2.82
La 0.5000 0.0000 0.0000  2 Zn 2.82
Zr 0.5000 0.5000 0.5000  12 La 3.99
Zn 0.0000 0.0000 0.0000  6 La 2.82

Calculated values
Excess energy over the best structure of this formula in the dataset, kJ/mol of formula units: 11
DFT formation energy, eV per atom: 0.54
E_tot, eV per atom: -4.3764

Record 3
The following is a PBE calculation of a relaxed LaZrZn2 crystal, from Alexandria via LeMat-Bulk.

Cell: 3.5095 3.5095 7.2116 Å, 90.00 90.00 90.00°
Last column: nearest neighbours and their distance in Å.
Fractional coordinates of all 4 atoms:
La 0.0000 0.0000 0.0000  8 Zn 3.27, 4 La 3.51, 2 Zr 3.61
Zr 0.0000 0.0000 0.5000  8 Zn 2.89
Zn 0.5000 0.5000 0.2948  4 Zr 2.89, 1 Zn 2.96
Zn 0.5000 0.5000 0.7052  4 Zr 2.89, 1 Zn 2.96

Calculated values
Excess energy over the best structure of this formula in the dataset, kJ/mol of formula units: 0
DFT formation energy, eV per atom: -0.24
E_tot, eV per atom: -4.2474

Record 4
The following is a PBE calculation of a relaxed LaZr crystal, from Alexandria via LeMat-Bulk.

Cell: 5.9245 5.9245 5.9245 Å, 33.63 33.63 33.63°
Last column: nearest neighbours and their distance in Å.
Fractional coordinates of all 2 atoms:
La 0.0000 0.0000 0.0000  6 Zr 3.42, 6 La 3.43
Zr 0.5000 0.5000 0.5000  6 La 3.42, 6 Zr 3.43

Calculated values
Excess energy over the best structure of this formula in the dataset, kJ/mol of formula units: 22
DFT formation energy, eV per atom: 0.23
E_tot, eV per atom: -6.5064

Record 5
The following is a PBE calculation of a relaxed LaZr crystal, from Alexandria via LeMat-Bulk.

Cell: 6.6547 6.6547 8.2560 Å, 103.13 103.13 29.48°
Last column: nearest neighbours and their distance in Å.
Fractional coordinates of all 6 atoms:
La 0.0000 0.0000 0.0000  7 Zr 3.36-3.51, 5 La 3.39-3.71
La 0.0513 0.0513 0.5982  4 La 3.24-3.53, 4 Zr 3.50
La 0.3090 0.3090 0.6552  3 La 3.24-3.39, 5 Zr 3.44-3.52
Zr 0.3754 0.3754 0.2747  6 Zr 3.12-3.39, 1 La 3.44
Zr 0.6643 0.6643 0.3097  5 Zr 3.03-3.39, 2 La 3.37
Zr 0.7369 0.7369 0.9866  5 Zr 3.03-3.39, 1 La 3.36

Calculated values
Excess energy over the best structure of this formula in the dataset, kJ/mol of formula units: 8
DFT formation energy, eV per atom: 0.16
E_tot, eV per atom: -6.5813

Record 6
The following is a PBE calculation of a relaxed La2Zr3 crystal, from Alexandria via LeMat-Bulk.

Cell: 5.1758 5.1758 6.2785 Å, 90.00 90.00 120.00°
Last column: nearest neighbours and their distance in Å.
Fractional coordinates of all 5 atoms:
La 0.3333 0.6667 0.3404  8 Zr 2.98-3.30
La 0.6667 0.3333 0.6596  8 Zr 2.98-3.30
Zr 0.0000 0.0000 0.5000  6 La 3.15
Zr 0.3333 0.6667 0.8666  5 La 2.98-3.30
Zr 0.6667 0.3333 0.1334  5 La 2.98-3.30

Calculated values
Excess energy over the best structure of this formula in the dataset, kJ/mol of formula units: 249
DFT formation energy, eV per atom: 0.76
E_tot, eV per atom: -6.3372

Record 7
The following is a PBE calculation of a relaxed LaZr crystal, from Alexandria via LeMat-Bulk.

Cell: 8.7840 8.7840 8.7840 Å, 91.97 91.97 158.62°
Last column: nearest neighbours and their distance in Å.
Fractional coordinates of all 8 atoms:
La 0.1103 0.6736 0.7838  2 Zr 3.09-3.13, 2 La 3.26
La 0.3264 0.1103 0.4367  2 Zr 3.09-3.13, 2 La 3.26
La 0.6736 0.8897 0.5633  2 Zr 3.09-3.13, 2 La 3.26
La 0.8897 0.3264 0.2162  2 Zr 3.09-3.13, 2 La 3.26
Zr 0.0739 0.1530 0.2269  4 Zr 2.93-3.26, 2 La 3.09-3.13
Zr 0.1530 0.9261 0.0791  4 Zr 2.93-3.26, 2 La 3.09-3.13
Zr 0.8470 0.0739 0.9209  4 Zr 2.93-3.26, 2 La 3.09-3.13
Zr 0.9261 0.8470 0.7731  4 Zr 2.93-3.26, 2 La 3.09-3.13

Calculated values
Excess energy over the best structure of this formula in the dataset, kJ/mol of formula units: 55
DFT formation energy, eV per atom: 0.40
E_tot, eV per atom: -6.3332

Record 8
The following is a PBE calculation of a relaxed LaZr2 crystal, from Alexandria via LeMat-Bulk.

Cell: 6.2873 6.2873 8.2973 Å, 104.76 104.76 30.66°
Last column: nearest neighbours and their distance in Å.
Fractional coordinates of all 6 atoms:
La 0.1370 0.1370 0.0355  5 La 3.22-3.39, 6 Zr 3.48-3.59
La 0.8630 0.8630 0.9645  5 La 3.22-3.39, 6 Zr 3.48-3.59
Zr 0.1916 0.1916 0.6200  9 Zr 3.13-3.32, 2 La 3.48
Zr 0.4694 0.4694 0.6681  8 Zr 3.07-3.32
Zr 0.5306 0.5306 0.3319  8 Zr 3.07-3.32
Zr 0.8084 0.8084 0.3800  9 Zr 3.13-3.32, 2 La 3.48

Calculated values
Excess energy over the best structure of this formula in the dataset, kJ/mol of formula units: 11
DFT formation energy, eV per atom: 0.13
E_tot, eV per atom: -7.2081

Record 9
The following is a PBE calculation of a relaxed LaZr crystal, from Alexandria via LeMat-Bulk.

Cell: 3.8400 3.8400 3.8400 Å, 90.00 90.00 90.00°
Last column: nearest neighbours and their distance in Å.
Fractional coordinates of all 2 atoms:
La 0.0000 0.0000 0.0000  8 Zr 3.33
Zr 0.5000 0.5000 0.5000  8 La 3.33

Calculated values
Excess energy over the best structure of this formula in the dataset, kJ/mol of formula units: 32
DFT formation energy, eV per atom: 0.28
E_tot, eV per atom: -6.4551

Record 10
The following is a PBE calculation of a relaxed LaZr crystal, from Alexandria via LeMat-Bulk.

Cell: 3.4565 9.0848 9.0848 Å, 142.38 90.00 90.00°
Last column: nearest neighbours and their distance in Å.
Fractional coordinates of all 6 atoms:
La 0.0000 0.0000 0.0000  6 Zr 3.35-3.45, 6 La 3.46-3.56
La 0.5000 0.0426 0.6915  7 Zr 3.40-3.74, 4 La 3.46-3.56
La 0.5000 0.6915 0.0426  7 Zr 3.40-3.74, 4 La 3.46-3.56
Zr 0.0000 0.2249 0.5233  4 Zr 3.17-3.46, 7 La 3.37-3.48
Zr 0.0000 0.5233 0.2249  4 Zr 3.17-3.46, 7 La 3.37-3.48
Zr 0.5000 0.4906 0.4906  6 Zr 3.17-3.46, 4 La 3.35-3.45

Calculated values
Excess energy over the best structure of this formula in the dataset, kJ/mol of formula units: 16
DFT formation energy, eV per atom: 0.20
E_tot, eV per atom: -6.5388

Record 11
The following is a PBE calculation of a relaxed LaZr3 crystal, from Alexandria via LeMat-Bulk.

Cell: 5.8566 5.8566 3.2228 Å, 90.00 90.00 113.31°
Last column: nearest neighbours and their distance in Å.
Fractional coordinates of all 4 atoms:
La 0.0000 0.0000 0.0000  10 Zr 3.22-3.34, 2 La 3.22
Zr 0.0000 0.5000 0.5000  8 Zr 3.22-3.34, 4 La 3.34
Zr 0.5000 0.0000 0.5000  8 Zr 3.22-3.34, 4 La 3.34
Zr 0.5000 0.5000 0.0000  2 La 3.22, 10 Zr 3.22-3.34

Calculated values
DFT formation energy, eV per atom: 0.19
E_tot, eV per atom: -7.4546

Record 12
The following is a PBE calculation of a relaxed La5Zr crystal, from Alexandria via LeMat-Bulk.

Cell: 8.2300 8.2300 5.0757 Å, 90.00 90.00 144.03°
Last column: nearest neighbours and their distance in Å.
Fractional coordinates of all 6 atoms:
La 0.0000 0.0000 0.0000  8 La 3.54-3.55, 4 Zr 3.59
La 0.1579 0.8421 0.5000  10 La 3.54-3.84, 2 Zr 3.55
La 0.3416 0.6584 0.0000  2 Zr 3.55, 10 La 3.55-3.84
La 0.6584 0.3416 0.0000  2 Zr 3.55, 10 La 3.55-3.84
La 0.8421 0.1579 0.5000  10 La 3.54-3.84, 2 Zr 3.55
Zr 0.5000 0.5000 0.5000  12 La 3.55-3.59

Calculated values
Excess energy over the best structure of this formula in the dataset, kJ/mol of formula units: 0
DFT formation energy, eV per atom: 0.09
E_tot, eV per atom: -5.4388

Record 13
The following is a PBE calculation of a relaxed LaZr3 crystal, from Alexandria via LeMat-Bulk.

Cell: 3.2644 5.3751 5.9116 Å, 90.00 90.00 90.00°
Last column: nearest neighbours and their distance in Å.
Fractional coordinates of all 4 atoms:
La 0.0000 0.0000 0.0000  2 La 3.26, 10 Zr 3.31-3.40
Zr 0.0000 0.5000 0.3263  8 Zr 3.14-3.31, 2 La 3.31
Zr 0.5000 0.0000 0.4997  8 Zr 3.16-3.31, 4 La 3.37-3.38
Zr 0.5000 0.5000 0.7795  6 Zr 3.14-3.26, 4 La 3.40

Calculated values
DFT formation energy, eV per atom: 0.15
E_tot, eV per atom: -7.4908

Record 14
The following is a PBE calculation of a relaxed LaZr2 crystal, from Alexandria via LeMat-Bulk.

Cell: 9.6183 9.6183 9.6183 Å, 153.54 153.54 37.77°
Last column: nearest neighbours and their distance in Å.
Fractional coordinates of all 6 atoms:
La 0.3750 0.6250 0.7500  12 Zr 3.42-3.83
La 0.6250 0.3750 0.2500  12 Zr 3.42-3.83
Zr 0.0472 0.7972 0.2500  3 Zr 2.79-2.83
Zr 0.2028 0.9528 0.2500  3 Zr 2.79-2.83
Zr 0.7972 0.0472 0.7500  3 Zr 2.79-2.83
Zr 0.9528 0.2028 0.7500  3 Zr 2.79-2.83

Calculated values
Excess energy over the best structure of this formula in the dataset, kJ/mol of formula units: 136
DFT formation energy, eV per atom: 0.56
E_tot, eV per atom: -6.7770

Record 15
The following is a PBE calculation of a relaxed LaZr crystal, from Alexandria via LeMat-Bulk.

Cell: 9.8487 9.0201 5.7283 Å, 80.43 64.57 35.00°
Last column: nearest neighbours and their distance in Å.
Fractional coordinates of all 8 atoms:
La 0.0433 0.7067 0.0433  3 La 3.31-3.34, 8 Zr 3.38-3.62
La 0.2933 0.9567 0.2933  3 La 3.31-3.34, 8 Zr 3.38-3.62
La 0.7067 0.0433 0.7067  3 La 3.31-3.34, 8 Zr 3.38-3.62
La 0.9567 0.2933 0.9567  3 La 3.31-3.34, 8 Zr 3.38-3.62
Zr 0.2969 0.2969 0.4531  1 Zr 2.66
Zr 0.4531 0.4531 0.2969  1 Zr 2.66
Zr 0.5469 0.5469 0.7031  1 Zr 2.66
Zr 0.7031 0.7031 0.5469  1 Zr 2.66

Calculated values
Excess energy over the best structure of this formula in the dataset, kJ/mol of formula units: 41
DFT formation energy, eV per atom: 0.33
E_tot, eV per atom: -6.4058

Record 16
The following is a PBE calculation of a relaxed LaZr crystal, from Alexandria via LeMat-Bulk.

Cell: 3.3787 3.3787 5.7006 Å, 90.00 90.00 120.00°
Last column: nearest neighbours and their distance in Å.
Fractional coordinates of all 2 atoms:
La 0.0000 0.0000 0.0000  6 La 3.38, 6 Zr 3.45
Zr 0.3333 0.6667 0.5000  6 Zr 3.38, 6 La 3.45

Calculated values
Excess energy over the best structure of this formula in the dataset, kJ/mol of formula units: 21
DFT formation energy, eV per atom: 0.22
E_tot, eV per atom: -6.5130

Record 17
The following is a PBE calculation of a relaxed LaZr2 crystal, from Alexandria via LeMat-Bulk.

Cell: 6.7205 4.6931 10.0505 Å, 90.00 90.00 90.00°
Last column: nearest neighbours and their distance in Å.
Fractional coordinates of all 12 atoms:
La 0.1228 0.2500 0.0820  10 Zr 3.29-3.43, 2 La 3.31
La 0.3772 0.7500 0.5820  10 Zr 3.29-3.43, 2 La 3.31
La 0.6228 0.2500 0.4180  10 Zr 3.29-3.43, 2 La 3.31
La 0.8772 0.7500 0.9180  10 Zr 3.29-3.43, 2 La 3.31
Zr 0.1125 0.2500 0.4139  7 Zr 3.22-3.42, 5 La 3.29-3.43
Zr 0.1214 0.2500 0.7409  7 Zr 3.22-3.42, 5 La 3.32-3.43
Zr 0.3786 0.7500 0.2409  7 Zr 3.22-3.42, 5 La 3.32-3.43
Zr 0.3875 0.7500 0.9139  7 Zr 3.22-3.42, 5 La 3.29-3.43
Zr 0.6125 0.2500 0.0861  7 Zr 3.22-3.42, 5 La 3.29-3.43
Zr 0.6214 0.2500 0.7591  7 Zr 3.22-3.42, 5 La 3.32-3.43
Zr 0.8786 0.7500 0.2591  7 Zr 3.22-3.42, 5 La 3.32-3.43
Zr 0.8875 0.7500 0.5861  7 Zr 3.22-3.42, 5 La 3.29-3.43

Calculated values
Excess energy over the best structure of this formula in the dataset, kJ/mol of formula units: 26
DFT formation energy, eV per atom: 0.19
E_tot, eV per atom: -7.1557

Record 18
The following is a PBE calculation of a relaxed La3Zr2 crystal, from Alexandria via LeMat-Bulk.

Cell: 14.3836 14.3836 14.3836 Å, 13.89 13.89 13.89°
Last column: nearest neighbours and their distance in Å.
Fractional coordinates of all 5 atoms:
La 0.0000 0.0000 0.0000  6 Zr 3.39, 6 La 3.48
La 0.2057 0.2057 0.2057  3 Zr 3.38, 6 La 3.48
La 0.7943 0.7943 0.7943  3 Zr 3.38, 6 La 3.48
Zr 0.3973 0.3973 0.3973  6 La 3.38-3.39, 6 Zr 3.48
Zr 0.6027 0.6027 0.6027  6 La 3.38-3.39, 6 Zr 3.48

Calculated values
Excess energy over the best structure of this formula in the dataset, kJ/mol of formula units: 0
DFT formation energy, eV per atom: 0.19
E_tot, eV per atom: -6.1864

Record 19
The following is a PBE calculation of a relaxed LaZr crystal, from Alexandria via LeMat-Bulk.

Cell: 11.1230 5.1648 7.9733 Å, 90.00 90.00 90.00°
Last column: nearest neighbours and their distance in Å.
Fractional coordinates of all 16 atoms:
La 0.0970 0.2500 0.2018  5 Zr 3.19-3.53, 4 La 3.26-3.51
La 0.1898 0.7500 0.9828  3 Zr 3.09-3.33, 3 La 3.26-3.28
La 0.3102 0.2500 0.4828  3 Zr 3.09-3.33, 3 La 3.26-3.28
La 0.4030 0.7500 0.7018  5 Zr 3.19-3.53, 4 La 3.26-3.51
La 0.5970 0.2500 0.2982  5 Zr 3.19-3.53, 4 La 3.26-3.51
La 0.6898 0.7500 0.5172  3 Zr 3.09-3.33, 3 La 3.26-3.28
La 0.8102 0.2500 0.0172  3 Zr 3.09-3.33, 3 La 3.26-3.28
La 0.9030 0.7500 0.7982  5 Zr 3.19-3.53, 4 La 3.26-3.51
Zr 0.0974 0.7500 0.5042  5 Zr 3.03-3.37, 1 La 3.19
Zr 0.1070 0.2500 0.7467  3 Zr 3.03-3.23, 3 La 3.09-3.33
Zr 0.3930 0.7500 0.2467  3 Zr 3.03-3.23, 3 La 3.09-3.33
Zr 0.4026 0.2500 0.0042  5 Zr 3.03-3.37, 1 La 3.19
Zr 0.5974 0.7500 0.9958  5 Zr 3.03-3.37, 1 La 3.19
Zr 0.6070 0.2500 0.7533  3 Zr 3.03-3.23, 3 La 3.09-3.33
Zr 0.8930 0.7500 0.2533  3 Zr 3.03-3.23, 3 La 3.09-3.33
Zr 0.9026 0.2500 0.4958  5 Zr 3.03-3.37, 1 La 3.19

Calculated values
Excess energy over the best structure of this formula in the dataset, kJ/mol of formula units: 14
DFT formation energy, eV per atom: 0.19
E_tot, eV per atom: -6.5504

Record 20
The following is a PBE calculation of a relaxed La3Zr2 crystal, from Alexandria via LeMat-Bulk.

Cell: 5.4052 5.4052 6.5078 Å, 90.00 90.00 120.00°
Last column: nearest neighbours and their distance in Å.
Fractional coordinates of all 5 atoms:
La 0.0000 0.0000 0.0000  6 Zr 3.18
La 0.3333 0.6667 0.3670  1 Zr 2.99
La 0.6667 0.3333 0.6330  1 Zr 2.99
Zr 0.3333 0.6667 0.9074  4 La 2.99-3.18, 3 Zr 3.35
Zr 0.6667 0.3333 0.0926  4 La 2.99-3.18, 3 Zr 3.35

Calculated values
Excess energy over the best structure of this formula in the dataset, kJ/mol of formula units: 58
DFT formation energy, eV per atom: 0.31
E_tot, eV per atom: -6.0659